[1]
{"formula": "CsZnSbTeHO", "functional": "GGA-PBE", "state": "relaxed", "dos_ef_per_ev_cell": 1.12, "volume_a3_per_fu": 191.68, "e_above_lowest_polymorph_mev_per_atom": 37, "lattice": [[4.9467, -0.0092, 0.0075], [1.4371, 5.1112, -0.0077], [1.5941, 1.1348, 7.5772]], "species": ["Cs", "Zn", "Sb", "Te", "H", "O"], "fractional_positions": [[0.3840, 0.0245, 0.7719], [0.7648, 0.4353, 0.0509], [0.2138, 0.5969, 0.2181], [0.9989, 0.1117, 0.3473], [0.7428, 0.3264, 0.8790], [0.0223, 0.6736, 0.0086]]}

---

[2]
{"formula": "SeF", "functional": "GGA-PBE", "state": "relaxed", "dos_ef_per_ev_cell": 1.25, "volume_a3_per_fu": 34.09, "raw_formation_energy_ev_per_fu": -1.43, "e_above_lowest_polymorph_mev_per_atom": 349, "lattice": [[0.6708, -0.8105, -2.7207], [-1.4510, -5.2105, 1.1945], [-5.3128, 2.4626, 4.2880]], "species": ["Se", "Se", "F", "F"], "fractional_positions": [[0.5012, 0.7500, 0.0000], [0.4988, 0.2500, 0.0000], [0.4926, 0.2500, 0.4988], [0.5074, 0.7500, 0.5012]]}

---

[3]
{"formula": "TbPmPr6Ho2", "functional": "GGA-PBE", "state": "relaxed", "formation_energy_mev_per_atom": 113.4, "dos_ef_per_ev_cell": 29.90, "volume_a3_per_fu": 348.54, "lattice": [[9.3137, -2.1108, -2.1906], [0.8061, 8.7337, -2.0302], [0.8061, -2.3525, 8.6524]], "species": ["Tb", "Tb", "Pm", "Pm", "Pr", "Pr", "Pr", "Pr", "Pr", "Pr", "Pr", "Pr", "Pr", "Pr", "Pr", "Pr", "Ho", "Ho", "Ho", "Ho"], "fractional_positions": [[0.2500, 0.9713, 0.0287], [0.7500, 0.0287, 0.9713], [0.2500, 0.4081, 0.5919], [0.7500, 0.5919, 0.4081], [0.0548, 0.1113, 0.7602], [0.4452, 0.2398, 0.8887], [0.9452, 0.8887, 0.2398], [0.5548, 0.7602, 0.1113], [0.3144, 0.9877, 0.4345], [0.1856, 0.5655, 0.0123], [0.6856, 0.0123, 0.5655], [0.8144, 0.4345, 0.9877], [0.1194, 0.7047, 0.4904], [0.3806, 0.5096, 0.2953], [0.8806, 0.2953, 0.5096], [0.6194, 0.4904, 0.7047], [0.4534, 0.8033, 0.7084], [0.0466, 0.2916, 0.1967], [0.5466, 0.1967, 0.2916], [0.9534, 0.7084, 0.8033]]}

---

[4]
{"formula": "Cr2NiAu", "functional": "GGA-PBE", "state": "relaxed", "formation_energy_mev_per_atom": 240.9, "dos_ef_per_ev_cell": 3.54, "volume_a3_per_fu": 53.31, "e_above_lowest_polymorph_mev_per_atom": 101, "lattice": [[-0.4353, 2.4891, 0.7525], [0.8181, -1.4202, 2.0652], [7.7235, 1.8841, -1.7638]], "species": ["Au", "Cr", "Cr", "Ni"], "fractional_positions": [[0.5000, 0.5000, 0.7478], [0.0000, 0.0000, 0.0327], [0.5000, 0.5000, 0.2463], [0.0000, 0.0000, 0.4732]]}

---

[5]
{"formula": "Nd3OsPb", "functional": "GGA-PBE", "state": "relaxed", "formation_energy_mev_per_atom": -88.1, "dos_ef_per_ev_cell": 3.38, "volume_a3_per_fu": 168.00, "lattice": [[-0.3524, 5.2552, -1.6448], [-5.4517, -0.5650, -0.6374], [-0.7754, 1.5844, 5.2283]], "species": ["Pb", "Nd", "Nd", "Nd", "Os"], "fractional_positions": [[0.5000, 0.5000, 0.5000], [0.0000, 0.5000, 0.0000], [0.0000, 0.0000, 0.5000], [0.5000, 0.0000, 0.0000], [0.0000, 0.0000, 0.0000]]}

---

[6]
{"formula": "BaSiRh2", "functional": "GGA-PBE", "state": "relaxed", "dos_ef_per_ev_cell": 1.08, "volume_a3_per_fu": 78.23, "raw_formation_energy_ev_per_fu": -1.05, "lattice": [[3.3727, 0.0000, 0.0000], [0.0000, 3.1251, 0.0337], [0.0000, 1.8842, 7.4427]], "species": ["Ba", "Rh", "Rh", "Si"], "fractional_positions": [[0.5000, 0.7500, 0.7500], [0.0000, 0.0181, 0.0787], [0.0000, 0.4819, 0.4213], [0.5000, 0.2500, 0.2500]]}

---

[7]
{"formula": "SrBi5Pb2", "functional": "GGA-PBE", "state": "relaxed", "formation_energy_mev_per_atom": -176.0, "dos_ef_per_ev_cell": 4.47, "volume_a3_per_fu": 261.03, "lattice": [[-6.4373, 1.4846, -2.4138], [3.1354, -6.0227, -1.8347], [-0.8013, -0.4841, 6.9709]], "species": ["Sr", "Bi", "Bi", "Bi", "Bi", "Bi", "Pb", "Pb"], "fractional_positions": [[0.7781, 0.7780, 0.0000], [0.2780, 0.2781, 0.5002], [0.2781, 0.7777, 0.0000], [0.7779, 0.2780, 0.0000], [0.7777, 0.7779, 0.4998], [0.2779, 0.2777, 0.0000], [0.2776, 0.7778, 0.4999], [0.7777, 0.2779, 0.5001]]}

---

[8]
{"formula": "CrOs2Se", "functional": "GGA-PBE", "state": "relaxed", "dos_ef_per_ev_cell": 3.57, "volume_a3_per_fu": 57.38, "raw_formation_energy_ev_per_fu": 1.52, "lattice": [[-7.0187, -3.4267, -3.3458], [-6.5738, -5.2402, -1.2344], [-7.9724, -2.8395, -0.7592]], "species": ["Cr", "Os", "Os", "Se"], "fractional_positions": [[0.7536, 0.7536, 0.7536], [0.0023, 0.0023, 0.0023], [0.2522, 0.2522, 0.2522], [0.4920, 0.4920, 0.4920]]}